Entry 1:
16
Lattice="-4.040 -4.407 -1.530 -1.643 -0.876 6.858 -5.613 5.373 -0.658" Properties=species:S:1:pos:R:3 comment="K2BiSbO4 (GGA-PBE, optimized geometry)" total_magnetization_mub_per_cell=0.000 energy_ev_per_atom=-5.112 space_group="Pmn2_1, No. 31" pbc="T T T"
K -9.313 -0.809 2.522
K -3.963 -1.013 1.429
K -6.385 -3.612 2.865
K -6.648 1.557 1.114
Sb -5.966 -0.034 4.402
Sb -4.218 -4.412 -0.046
O -1.410 -1.368 0.857
O -4.512 0.889 -0.461
O -5.142 -4.757 5.018
O -5.886 -2.903 0.228
O -4.227 -1.466 4.155
O -7.268 -1.436 4.070
O -8.306 -0.586 -0.056
O -7.419 1.590 3.781
Bi -3.552 -3.043 5.445
Bi -2.999 2.561 0.288

Entry 2:
10
Lattice="-2.247 -5.119 -1.884 4.772 -0.858 -3.360 3.130 -4.971 0.537" Properties=species:S:1:pos:R:3 comment="K2BiSbO6 (GGA-PBE, optimized geometry)" total_magnetization_mub_per_cell=0.000 energy_ev_per_atom=-5.271 space_group="Fm-3m, No. 225" pbc="T T T"
K 4.583 -4.409 -2.722
K 1.073 -6.540 -1.984
O -0.431 -4.017 -2.265
O 6.087 -6.932 -2.441
O 2.163 -3.945 -1.096
O 3.492 -7.004 -3.610
O 5.002 -9.402 -3.351
O 0.654 -1.547 -1.355
Bi 0.000 0.000 0.000
Sb 1.263 -2.989 -2.622

Entry 3:
20
Lattice="-1.136 -4.097 -4.409 5.646 -0.947 -0.574 5.192 -7.069 5.232" Properties=species:S:1:pos:R:3 comment="KYBiSbO6 (GGA-PBE, optimized geometry)" total_magnetization_mub_per_cell=0.000 energy_ev_per_atom=-6.529 space_group="Pc, No. 7" polymorph_energy_mev_per_atom=0 pbc="T T T"
Bi 4.979 -6.617 2.070
Bi 1.994 -4.486 -2.057
O 4.124 -4.331 2.385
O 9.766 -7.695 4.491
O 2.569 -3.386 -0.089
O 7.379 -6.825 2.420
O 0.547 -4.337 -4.042
O 6.073 -8.119 -2.385
O 4.717 -8.540 0.785
O 0.668 -2.533 -2.064
O 6.107 -6.032 0.228
O 3.262 -6.076 0.542
O 4.187 -5.441 -2.511
O 8.583 -10.000 2.377
K 7.299 -9.148 0.073
K 5.315 -3.405 -0.167
Y 4.559 -7.146 -1.147
Y 7.785 -8.409 3.913
Sb 7.964 -5.517 0.963
Sb 4.796 -4.045 -3.873

Entry 4:
10
Lattice="0.000 4.187 4.187 4.187 0.000 4.187 4.187 4.187 0.000" Properties=species:S:1:pos:R:3 comment="KYBiSbO6 (GGA-PBE, optimized geometry)" total_magnetization_mub_per_cell=0.000 energy_ev_per_atom=-6.351 space_group="F-43m, No. 216" polymorph_energy_mev_per_atom=177 pbc="T T T"
O 6.390 4.187 4.187
O 4.187 4.187 1.984
O 4.187 1.984 4.187
O 1.984 4.187 4.187
O 4.187 4.187 6.390
O 4.187 6.390 4.187
Sb 0.000 0.000 0.000
Y 4.187 4.187 4.187
K 6.281 6.281 6.281
Bi 2.094 2.094 2.094

Entry 5:
7
Lattice="4.546 0.000 0.000 0.000 4.546 0.000 -2.273 -2.273 9.405" Properties=species:S:1:pos:R:3 comment="K2Sc2Bi2O (GGA-PBE, optimized geometry)" total_magnetization_mub_per_cell=0.000 energy_ev_per_atom=-5.171 space_group="I4/mmm, No. 139" pbc="T T T"
Bi 2.273 2.273 2.093
Bi 0.000 0.000 7.312
Sc 2.273 0.000 0.000
Sc 0.000 2.273 0.000
K 2.273 2.273 6.047
K 0.000 0.000 3.358
O 0.000 0.000 0.000

Entry 6:
11
Lattice="-3.846 4.516 0.129 -1.633 -5.263 2.197 3.973 1.958 5.008" Properties=species:S:1:pos:R:3 comment="K2ScBi2O6 (GGA-PBE, optimized geometry)" total_magnetization_mub_per_cell=0.000 energy_ev_per_atom=-5.935 space_group="C2/m, No. 12" pbc="T T T"
O 1.185 2.740 3.560
O -3.401 1.608 3.110
O -2.691 -1.529 3.774
O 1.895 -0.397 4.223
O -0.043 0.446 2.154
O -1.463 0.765 5.180
Sc 1.986 0.979 2.504
Bi -0.387 -1.010 4.009
Bi -1.119 2.221 3.325
K -2.001 -3.638 1.854
K -3.478 2.891 0.472

Entry 7:
8
Lattice="-0.637 0.997 3.211 0.024 -5.736 1.785 6.109 2.237 0.518" Properties=species:S:1:pos:R:3 comment="K2ScBiO4 (GGA-PBE, optimized geometry)" total_magnetization_mub_per_cell=0.000 energy_ev_per_atom=-6.034 space_group="P2/m, No. 10" pbc="T T T"
Bi 0.000 0.000 0.000
O 1.133 -3.641 1.355
O 5.000 0.142 0.948
O 0.866 -0.560 2.169
O 4.630 -1.942 3.345
K 2.736 1.617 1.865
K 3.067 -1.750 1.151
Sc -0.306 -2.370 2.498

Entry 8:
10
Lattice="-4.815 2.724 2.279 -2.377 0.383 -5.478 -5.464 -2.203 -1.053" Properties=species:S:1:pos:R:3 comment="K2ScBiO6 (GGA-PBE, optimized geometry)" total_magnetization_mub_per_cell=2.032 energy_ev_per_atom=-5.749 space_group="Fm-3m, No. 225" pbc="T T T"
K -6.937 1.037 -0.187
K -5.718 -0.134 -4.065
Sc 0.000 0.000 0.000
O -4.533 -0.332 -1.325
O -1.791 0.773 -0.796
O -8.122 1.236 -2.926
O -8.447 -1.237 -4.599
O -10.864 0.130 -3.455
O -4.208 2.141 0.348
Bi -3.596 1.553 -1.599

Entry 9:
11
Lattice="6.184 0.000 0.000 -3.092 4.787 -0.241 0.000 -2.982 6.796" Properties=species:S:1:pos:R:3 comment="K2BiSe2O6 (GGA-PBE, optimized geometry)" total_magnetization_mub_per_cell=0.000 energy_ev_per_atom=-5.005 space_group="C2/m, No. 12" pbc="T T T"
K 3.092 1.574 0.633
K 0.000 0.230 5.922
O -1.705 3.857 1.416
O 1.387 -2.053 5.139
O 4.797 -2.053 5.139
O 1.705 3.857 1.416
O 3.092 1.119 3.167
O 0.000 0.685 3.388
Bi 3.092 -1.491 3.398
Se 0.000 0.163 1.766
Se 3.092 1.641 4.789

Entry 10:
20
Lattice="-3.140 -6.284 0.712 6.199 -2.654 2.093 -2.845 5.186 5.605" Properties=species:S:1:pos:R:3 comment="KBiSe2O6 (GGA-PBE, optimized geometry)" total_magnetization_mub_per_cell=0.000 energy_ev_per_atom=-5.323 space_group="C2/c, No. 15" pbc="T T T"
O 0.520 -1.401 1.543
O 1.464 -4.809 4.116
O 2.938 -3.885 2.046
O -0.305 -2.351 6.867
O 1.865 1.630 5.267
O -2.724 0.134 6.364
O -2.301 -3.135 1.638
O -1.650 -5.382 3.143
O -1.435 -2.439 4.413
O 1.650 -1.313 3.998
O -1.250 1.057 4.294
O 2.516 -0.617 6.772
K 5.251 -1.449 3.459
K -5.037 -2.302 4.951
Bi -0.312 -3.612 2.637
Bi 0.526 -0.140 5.774
Se 1.902 -0.784 2.365
Se -1.688 -2.967 6.045
Se -2.840 0.518 4.676
Se 3.054 -4.270 3.734

Entry 11:
9
Lattice="-0.113 2.663 -4.616 3.731 -0.913 -3.695 -3.452 -4.331 -2.414" Properties=species:S:1:pos:R:3 comment="KBiSeO6 (GGA-PBE, optimized geometry)" total_magnetization_mub_per_cell=0.000 energy_ev_per_atom=-5.129 space_group="P312, No. 149" pbc="T T T"
O -1.000 0.179 -3.688
O 0.236 -1.585 -2.291
O 1.096 -0.967 -4.629
O -2.234 -2.043 -3.463
O -1.088 -1.691 -5.733
O -0.130 -3.387 -4.060
K -3.564 -1.668 -7.030
Se -0.520 -1.582 -3.977
Bi 0.686 -0.999 -6.748

Entry 12:
8
Lattice="-2.249 -5.240 0.003 4.702 0.312 -3.211 1.725 1.594 5.196" Properties=species:S:1:pos:R:3 comment="K2SiBiO4 (GGA-PBE, optimized geometry)" total_magnetization_mub_per_cell=1.009 energy_ev_per_atom=-5.757 space_group="I-4, No. 82" pbc="T T T"
O 1.903 0.696 1.993
O 4.469 -0.068 1.394
O 1.529 -2.725 1.155
O 0.454 -4.570 -0.568
K 2.833 -1.987 -1.108
K 0.000 0.000 0.000
Si 3.213 0.953 0.992
Bi 1.344 -1.346 3.096